i:
DyZn4Cu2 (PBE, optimized geometry); crystal system = orthorhombic
1.0
3.969 0.000 0.000
0.000 14.912 0.000
0.000 0.000 3.888
Dy Zn Cu
2 8 4
direct
0.000 0.000 0.000
0.500 0.500 0.000
0.000 0.183 0.500
0.000 0.314 0.000
0.000 0.686 0.000
0.000 0.817 0.500
0.500 0.186 0.000
0.500 0.317 0.500
0.500 0.683 0.500
0.500 0.814 0.000
0.000 0.420 0.500
0.000 0.580 0.500
0.500 0.080 0.500
0.500 0.920 0.500


ii:
DyZn4Cu2 (PBE, optimized geometry); crystal system = orthorhombic
1.0
5.014 0.000 0.000
0.000 6.576 0.000
0.000 0.000 6.638
Dy Zn Cu
2 8 4
direct
0.000 0.000 0.000
0.500 0.500 0.500
0.000 0.306 0.307
0.000 0.306 0.693
0.000 0.694 0.307
0.000 0.694 0.693
0.500 0.194 0.193
0.500 0.194 0.807
0.500 0.806 0.193
0.500 0.806 0.807
0.249 0.500 0.000
0.251 0.000 0.500
0.749 0.000 0.500
0.751 0.500 0.000


Here is how they stack up, most stable first: ii, i.


i:
Dy2ZrCu (PBE, optimized geometry); crystal system = trigonal
1.0
3.242 0.000 0.000
-1.621 2.808 0.000
0.000 0.000 32.607
Dy Zr Cu
6 3 3
direct
0.000 0.000 0.098
0.000 0.000 0.902
0.333 0.667 0.569
0.333 0.667 0.765
0.667 0.333 0.235
0.667 0.333 0.431
0.000 0.000 0.000
0.333 0.667 0.667
0.667 0.333 0.333
0.000 0.000 0.500
0.333 0.667 0.167
0.667 0.333 0.833


ii:
Dy2ZrCu (PBE, optimized geometry); crystal system = tetragonal
1.0
3.391 0.000 0.000
0.000 3.391 0.000
0.000 0.000 8.298
Dy Zr Cu
2 1 1
direct
0.000 0.000 0.218
0.000 0.000 0.782
0.500 0.500 0.500
0.500 0.500 0.000


Here is how they stack up, most stable first: ii, i.


i:
ErCu6 (PBE, optimized geometry); crystal system = cubic
1.0
6.377 0.000 0.000
0.000 6.377 0.000
0.000 0.000 6.377
Er Cu
2 12
direct
0.000 0.000 0.000
0.500 0.500 0.500
0.000 0.250 0.500
0.000 0.500 0.250
0.000 0.500 0.750
0.000 0.750 0.500
0.250 0.000 0.500
0.250 0.500 0.000
0.500 0.000 0.250
0.500 0.000 0.750
0.500 0.250 0.000
0.500 0.750 0.000
0.750 0.000 0.500
0.750 0.500 0.000


ii:
ErCu6 (PBE, optimized geometry); crystal system = cubic
1.0
5.481 0.000 0.000
0.000 5.481 0.000
0.000 0.000 5.481
Er Cu
1 6
direct
0.000 0.000 0.000
0.197 0.500 0.500
0.500 0.197 0.500
0.500 0.500 0.197
0.500 0.500 0.803
0.500 0.803 0.500
0.803 0.500 0.500


Here is how they stack up, most stable first: i, ii.


i:
EuEr2Cu (PBE, optimized geometry); crystal system = tetragonal
1.0
3.497 0.000 0.000
0.000 3.497 0.000
0.000 0.000 9.053
Eu Er Cu
1 2 1
direct
0.000 0.000 0.000
0.500 0.500 0.317
0.500 0.500 0.683
0.000 0.000 0.500


ii:
EuEr2Cu (PBE, optimized geometry); crystal system = trigonal
1.0
3.681 0.000 0.000
-1.840 3.188 0.000
0.000 0.000 30.008
Eu Er Cu
3 6 3
direct
0.000 0.000 0.000
0.333 0.667 0.667
0.667 0.333 0.333
0.000 0.000 0.229
0.000 0.000 0.771
0.333 0.667 0.437
0.333 0.667 0.896
0.667 0.333 0.104
0.667 0.333 0.563
0.000 0.000 0.500
0.333 0.667 0.167
0.667 0.333 0.833


Here is how they stack up, most stable first: i, ii.